A plane-wave DFT calculation with meta-GGA SCAN was carried out for a crystal of ZrAlFe4 relaxed with PBEsol.

The formation energy comes out at -0.270 eV per atom. Its density is 7.4 g cm⁻³. The magnetization comes out at 27.447 μB per cell.

The space group is F-43m (No. 216) and the conventional cell measures 6.733, 6.733 and 6.733 Å, with angles of 90.00, 90.00 and 90.00 degrees. The inequivalent atoms are Zr at (0.000, 0.000, 0.000), Al at (0.250, 0.250, 0.750) and Fe at (0.124, 0.124, 0.376).

---

A plane-wave DFT calculation with meta-GGA SCAN was carried out for a crystal of TaRhI3 relaxed with PBEsol.

For the uncorrected energy, the calculation gives -40.9916 eV/atom. Its density is 7.1 g cm⁻³. The magnetization comes out at 1.175 μB per cell.

The space group is Pm-3m (No. 221) and the conventional cell measures 5.382, 5.382 and 5.382 Å, with angles of 90.00, 90.00 and 90.00 degrees. The inequivalent atoms are Ta at (0.000, 0.000, 0.000), Rh at (0.500, 0.500, 0.500) and I at (0.000, 0.000, 0.500).

---

A plane-wave DFT calculation with meta-GGA SCAN was carried out for a crystal of MgBeRe2 relaxed with PBEsol.

The formation energy comes out at 0.728 eV per atom. Its density is 12.7 g cm⁻³. The magnetization comes out at 0.005 μB per cell.

The space group is Fm-3m (No. 225) and the conventional cell measures 5.966, 5.966 and 5.966 Å, with angles of 90.00, 90.00 and 90.00 degrees. The inequivalent atoms are Mg at (0.000, 0.000, 0.000), Be at (0.000, 0.000, 0.500) and Re at (0.250, 0.250, 0.250).

---

A plane-wave DFT calculation with meta-GGA SCAN was carried out for a crystal of ThSiAu relaxed with PBEsol.

For the uncorrected energy, the calculation gives -59.2854 eV/atom. Its density is 11.7 g cm⁻³. The magnetization comes out at 0.000 μB per cell.

The space group is P-6m2 (No. 187) and the conventional cell measures 4.2685, 4.2685 and 4.0983 Å, with angles of 90.00, 90.00 and 120.00 degrees. The inequivalent atoms are Th at (0.0000, 0.0000, 0.0000), Si at (0.3333, 0.6667, 0.5000) and Au at (0.6667, 0.3333, 0.5000).

---

A plane-wave DFT calculation with meta-GGA SCAN was carried out for a crystal of SiNi6Mo relaxed with PBEsol.

For the uncorrected energy, the calculation gives -17.8970 eV/atom. Its density is 9.0 g cm⁻³. The magnetization comes out at 0.001 μB per cell.

The space group is Cmmm (No. 65) and the conventional cell measures 7.033, 9.988 and 9.977 Å, with angles of 90.00, 90.00 and 90.00 degrees. The inequivalent atoms are Si at (0.000, 0.000, 0.246), Si at (0.000, 0.256, 0.000), Ni at (0.000, 0.000, 0.000), Ni at (0.000, 0.000, 0.500), Ni at (0.000, 0.249, 0.248), Ni at (0.000, 0.500, 0.000), Ni at (0.000, 0.500, 0.500), Ni at (0.246, 0.124, 0.372), Ni at (0.247, 0.126, 0.123), Mo at (0.000, 0.256, 0.500) and Mo at (0.000, 0.500, 0.245).

---

A plane-wave DFT calculation with meta-GGA SCAN was carried out for a crystal of HgSb2Se relaxed with PBEsol.

For the uncorrected energy, the calculation gives -40.4524 eV/atom. Its density is 8.9 g cm⁻³. The magnetization comes out at 0.000 μB per cell.

The space group is Cmm2 (No. 35) and the conventional cell measures 3.794, 5.584 and 9.228 Å, with angles of 90.00, 90.00 and 90.00 degrees. The inequivalent atoms are Hg at (0.000, 0.000, 0.000), Sb at (0.000, 0.000, 0.542), Sb at (0.000, 0.500, 0.260) and Se at (0.000, 0.500, 0.764).